Entry 1:
Density functional theory data (GGA-PBE) for a relaxed CuBiPtO4 crystal.

Geometry as POSCAR:
```
CuBiPtO4
1.0
6.2390 0.0000 0.0000
-3.1195 6.3667 -0.3244
0.0000 -3.7254 6.1265
Cu Bi Pt O
2 2 2 8
Direct
0.9517 0.9034 0.2017
0.0483 0.0966 0.7983
0.5000 0.0000 0.5000
0.5000 0.0000 0.0000
0.5000 0.5000 0.5000
0.0000 0.5000 0.5000
0.7160 0.4320 0.6393
0.2440 0.9231 0.2116
0.6792 0.9231 0.2116
0.7160 0.4320 0.2927
0.2840 0.5680 0.7073
0.7560 0.0769 0.7884
0.3208 0.0769 0.7884
0.2840 0.5680 0.3607
```

Results
- N(E_F) (states/eV/f.u.) = 5.11
- VASP energy (eV/atom) = -5.405
- symmetry = No. 74
- raw formation energy (eV per formula unit) = -3.98

***

Entry 2:
Density functional theory data (GGA-PBE) for a relaxed Cu2Bi2PtO6 crystal.

Geometry as POSCAR:
```
Cu2Bi2PtO6
1.0
-5.4480 -0.7721 -2.2105
-0.7512 -0.7787 -5.8303
-1.6015 -5.5501 -2.0679
Cu Bi Pt O
2 2 1 6
Direct
0.4134 0.4134 0.7599
0.5866 0.5866 0.2401
0.7982 0.7982 0.6053
0.2018 0.2018 0.3947
0.0000 0.0000 0.0000
0.7625 0.7625 0.2758
0.1992 0.7625 0.2758
0.7625 0.1992 0.2758
0.2375 0.8008 0.7242
0.8008 0.2375 0.7242
0.2375 0.2375 0.7242
```

Results
- N(E_F) (states/eV/f.u.) = 1.60
- VASP energy (eV/atom) = -5.358
- symmetry = No. 166
- raw formation energy (eV per formula unit) = -7.19

***

Entry 3:
Density functional theory data (GGA-PBE) for a relaxed PuCuBiO5 crystal.

Geometry as POSCAR:
```
PuCuBiO5
1.0
-4.6262 -2.8158 -2.6842
3.2989 -4.2620 2.7363
-3.0656 4.7777 5.7568
Pu Cu Bi O
2 2 2 10
Direct
0.0000 0.0000 0.5000
0.0000 0.0000 0.0000
0.7214 0.2786 0.2500
0.2786 0.7214 0.7500
0.3039 0.6961 0.2500
0.6961 0.3039 0.7500
0.0783 0.9217 0.2500
0.9217 0.0783 0.7500
0.8875 0.3305 0.0854
0.1125 0.6695 0.9146
0.6695 0.1125 0.4146
0.3305 0.8875 0.5854
0.7560 0.6579 0.3942
0.2440 0.3421 0.6058
0.3421 0.2440 0.1058
0.6579 0.7560 0.8942
```

Results
- N(E_F) (states/eV/f.u.) = 3.49
- VASP energy (eV/atom) = -7.572
- symmetry = No. 15
- raw formation energy (eV per formula unit) = -13.47

***

Entry 4:
Density functional theory data (GGA-PBE) for a relaxed PuCu2BiO6 crystal.

Geometry as POSCAR:
```
PuCu2BiO6
1.0
-4.9223 2.8393 2.4766
-3.5008 -4.4368 5.0295
1.8097 3.5443 6.4343
Pu Cu Bi O
2 4 2 12
Direct
0.2500 0.2738 0.7262
0.7500 0.7262 0.2738
0.3531 0.7571 0.6459
0.1469 0.3541 0.2429
0.6469 0.2429 0.3541
0.8531 0.6459 0.7571
0.2500 0.8956 0.1044
0.7500 0.1044 0.8956
0.1943 0.9902 0.7922
0.3057 0.2078 0.0098
0.8057 0.0098 0.2078
0.6943 0.7922 0.9902
0.3753 0.8265 0.3657
0.1247 0.6343 0.1735
0.6247 0.1735 0.6343
0.8753 0.3657 0.8265
0.2184 0.5559 0.7155
0.2816 0.2845 0.4441
0.7816 0.4441 0.2845
0.7184 0.7155 0.5559
```

Results
- N(E_F) (states/eV/f.u.) = 4.22
- VASP energy (eV/atom) = -7.025
- symmetry = No. 15
- raw formation energy (eV per formula unit) = -14.10

***

Entry 5:
Density functional theory data (GGA-PBE) for a relaxed Pu2CuBiO8 crystal.

Geometry as POSCAR:
```
Pu2CuBiO8
1.0
-3.1609 0.8358 3.7585
-3.1903 -3.4867 -1.5738
3.2921 -4.7374 3.8223
Pu Cu Bi O
2 1 1 8
Direct
0.5000 0.5000 0.7593
0.5000 0.5000 0.2407
0.0000 0.0000 0.0000
0.0000 0.0000 0.5000
0.2089 0.7915 0.2293
0.6824 0.6822 0.0000
0.7912 0.2085 0.2292
0.7911 0.2085 0.7707
0.3176 0.3178 0.0000
0.2088 0.7915 0.7708
0.6790 0.6786 0.5000
0.3210 0.3214 0.5000
```

Results
- N(E_F) (states/eV/f.u.) = 5.42
- VASP energy (eV/atom) = -8.311
- symmetry = No. 65
- raw formation energy (eV per formula unit) = -23.43

***

Entry 6:
Density functional theory data (GGA-PBE) for a relaxed RbCu2Bi2O6 crystal.

Geometry as POSCAR:
```
RbCu2Bi2O6
1.0
-4.5403 0.8215 4.3331
1.3231 -2.5785 5.9063
-0.2280 6.6169 -1.0049
Rb Cu Bi O
1 2 2 6
Direct
0.5000 0.0000 0.5000
0.1871 0.7437 0.7754
0.8129 0.2563 0.2246
0.8238 0.3638 0.8194
0.1762 0.6362 0.1806
0.3962 0.6969 0.9589
0.9353 0.4467 0.1664
0.1376 0.8982 0.6073
0.0647 0.5533 0.8336
0.8624 0.1018 0.3927
0.6038 0.3031 0.0411
```

Results
- N(E_F) (states/eV/f.u.) = 4.42
- VASP energy (eV/atom) = -5.124
- symmetry = No. 2
- raw formation energy (eV per formula unit) = -9.69

***

- Look up the raw formation energy of the fifth one.
  -23.43 eV per formula unit

***

- Look up the N(E_F) of the third one.
  3.49 states/eV/f.u.